A plane-wave DFT calculation with PBE was carried out for a relaxed Ho2Al2PdAu3 crystal.

Unit cell a=4.484 b=4.484 c=9.135 alpha=90.00 beta=90.00 gamma=120.00
Fractional coordinates of all 8 atoms:
Ho: 0.000 0.000 0.000
Ho: 0.333 0.667 0.492
Al: 0.667 0.333 0.257
Al: 0.667 0.333 0.747
Pd: 0.000 0.000 0.326
Au: 0.000 0.000 0.658
Au: 0.333 0.667 0.167
Au: 0.333 0.667 0.834

Computed properties:
Symmetry: No. 156
DFT total energy in eV/cell: -38.2
Calculated volume in Å³/cell: 159.1

A plane-wave DFT calculation with PBE was carried out for a relaxed ErPuU crystal.

Unit cell a=4.663 b=4.663 c=4.663 alpha=60.00 beta=60.00 gamma=60.00
Fractional coordinates of all 3 atoms:
Er: 0.000 0.000 0.000
Pu: 0.250 0.250 0.250
U: 0.500 0.500 0.500

Computed properties:
Formation energy in eV per atom: 0.938
Symmetry: No. 216
Calculated volume in Å³/cell: 71.7

A plane-wave DFT calculation with PBE was carried out for a relaxed InTe2MoAuSe crystal.

Unit cell a=7.655 b=7.655 c=10.281 alpha=90.00 beta=90.00 gamma=149.87
Fractional coordinates of all 12 atoms:
In: 0.250 0.750 0.750
In: 0.750 0.250 0.250
Te: 0.136 0.864 0.033
Te: 0.136 0.864 0.467
Te: 0.864 0.136 0.533
Te: 0.864 0.136 0.967
Mo: 0.500 0.500 0.000
Mo: 0.500 0.500 0.500
Au: 0.034 0.966 0.250
Au: 0.966 0.034 0.750
Se: 0.421 0.579 0.250
Se: 0.579 0.421 0.750

Computed properties:
Symmetry: No. 63
DFT total energy in eV/cell: -52.9
Calculated volume in Å³/cell: 302.5

A plane-wave DFT calculation with PBE was carried out for a relaxed SiTe2Au crystal.

Unit cell a=5.083 b=5.083 c=5.083 alpha=60.00 beta=60.00 gamma=60.00
Fractional coordinates of all 4 atoms:
Si: 0.000 0.000 0.000
Te: 0.500 0.500 0.500
Te: 0.750 0.750 0.750
Au: 0.250 0.250 0.250

Computed properties:
Symmetry: No. 216
DFT total energy in eV/cell: -12.8
Calculated volume in Å³/cell: 92.9

A plane-wave DFT calculation with PBE was carried out for a relaxed ThSN crystal.

Unit cell a=4.520 b=4.520 c=4.023 alpha=90.00 beta=90.00 gamma=120.00
Fractional coordinates of all 3 atoms:
Th: 0.000 0.000 0.000
S: 0.667 0.333 0.000
N: 0.333 0.667 0.000

Computed properties:
Symmetry: No. 187
DFT total energy in eV/cell: -19.7
Calculated volume in Å³/cell: 71.2

A plane-wave DFT calculation with PBE was carried out for a relaxed TaCl2 crystal.

Unit cell a=5.425 b=5.425 c=5.425 alpha=60.00 beta=60.00 gamma=60.00
Fractional coordinates of all 6 atoms:
Ta: 0.125 0.125 0.125
Ta: 0.875 0.875 0.875
Cl: 0.000 0.500 0.500
Cl: 0.500 0.000 0.500
Cl: 0.500 0.500 0.000
Cl: 0.500 0.500 0.500

Computed properties:
Symmetry: No. 227
DFT total energy in eV/cell: -23.3
Calculated volume in Å³/cell: 112.9

A plane-wave DFT calculation with PBE was carried out for a relaxed Er4Fe2SnGe4 crystal.

Unit cell a=7.974 b=7.974 c=6.954 alpha=107.04 beta=107.04 gamma=30.69
Fractional coordinates of all 11 atoms:
Er: 0.090 0.090 0.386
Er: 0.153 0.153 0.942
Er: 0.847 0.847 0.058
Er: 0.910 0.910 0.614
Fe: 0.280 0.280 0.371
Fe: 0.720 0.720 0.629
Sn: 0.500 0.500 0.000
Ge: 0.290 0.290 0.726
Ge: 0.430 0.430 0.343
Ge: 0.570 0.570 0.657
Ge: 0.710 0.710 0.274

Computed properties:
Symmetry: No. 12
DFT total energy in eV/cell: -64.7
Calculated volume in Å³/cell: 215.0

A plane-wave DFT calculation with PBE was carried out for a relaxed GaBi2Au crystal.

Unit cell a=5.272 b=5.272 c=5.272 alpha=60.00 beta=60.00 gamma=60.00
Fractional coordinates of all 4 atoms:
Ga: 0.000 0.000 0.000
Bi: 0.500 0.500 0.500
Bi: 0.750 0.750 0.750
Au: 0.250 0.250 0.250

Computed properties:
Symmetry: No. 216
DFT total energy in eV/cell: -13.9
Calculated volume in Å³/cell: 103.6